i.
A PBEsol-optimized structure of Sr3La4O9, computed with SCAN.

```
Sr3La4O9
1.0
3.075 1.775 8.878
-3.075 1.775 8.878
0.000 -3.550 8.878
Sr La O
3 4 9
Direct
0.000 0.000 0.000
0.180 0.180 0.180
0.567 0.567 0.567
0.308 0.308 0.308
0.436 0.436 0.436
0.741 0.741 0.741
0.872 0.872 0.872
0.059 0.660 0.394
0.150 0.769 0.535
0.211 0.586 0.974
0.394 0.059 0.660
0.535 0.150 0.769
0.586 0.974 0.211
0.660 0.394 0.059
0.769 0.535 0.150
0.974 0.211 0.586
```

- Fermi-level density of states (states/eV/cell) = 0.00

ii.
A PBEsol-optimized structure of Sr3La4O9, computed with SCAN.

```
Sr3La4O9
1.0
5.849 -3.610 0.000
5.849 3.610 0.000
-5.648 0.000 12.054
Sr La O
6 8 18
Direct
0.064 0.748 0.223
0.067 0.933 0.500
0.242 0.399 0.554
0.399 0.242 0.054
0.748 0.064 0.723
0.933 0.067 0.000
0.263 0.549 0.839
0.339 0.961 0.775
0.497 0.754 0.136
0.549 0.263 0.339
0.568 0.821 0.431
0.754 0.497 0.636
0.821 0.568 0.931
0.961 0.339 0.275
0.042 0.196 0.878
0.081 0.796 0.655
0.138 0.279 0.681
0.172 0.646 0.026
0.196 0.042 0.378
0.223 0.526 0.393
0.279 0.138 0.181
0.449 0.817 0.955
0.493 0.548 0.248
0.494 0.848 0.602
0.526 0.223 0.893
0.548 0.493 0.748
0.646 0.172 0.526
0.746 0.857 0.316
0.796 0.081 0.155
0.817 0.449 0.455
0.848 0.494 0.102
0.857 0.746 0.816
```

- Fermi-level density of states (states/eV/cell) = 0.00

Which is most stable, and by how much? ii, by 76 meV per atom.

i.
A PBEsol-optimized structure of La3TaO7, computed with SCAN.

```
La3TaO7
1.0
5.554 -3.750 0.000
5.554 3.750 0.000
0.000 0.000 7.740
La Ta O
6 2 14
Direct
0.000 0.000 0.000
0.000 0.000 0.500
0.072 0.475 0.750
0.475 0.072 0.250
0.525 0.928 0.750
0.928 0.525 0.250
0.500 0.500 0.000
0.500 0.500 0.500
0.105 0.155 0.250
0.155 0.105 0.750
0.187 0.562 0.033
0.187 0.562 0.467
0.436 0.564 0.750
0.438 0.813 0.033
0.438 0.813 0.467
0.562 0.187 0.533
0.562 0.187 0.967
0.564 0.436 0.250
0.813 0.438 0.533
0.813 0.438 0.967
0.845 0.895 0.250
0.895 0.845 0.750
```

- Fermi-level density of states (states/eV/cell) = 0.00

ii.
A PBEsol-optimized structure of La3TaO7, computed with SCAN.

```
La3TaO7
1.0
3.803 -5.514 0.000
3.803 5.514 0.000
0.000 0.000 3.941
La Ta O
3 1 7
Direct
0.000 0.000 0.000
0.000 0.500 0.500
0.500 0.000 0.500
0.500 0.500 0.000
0.130 0.870 0.500
0.183 0.430 0.000
0.430 0.183 0.000
0.500 0.500 0.500
0.570 0.817 0.000
0.817 0.570 0.000
0.870 0.130 0.500
```

- Fermi-level density of states (states/eV/cell) = 0.00

Which is most stable, and by how much? i, by 26 meV per atom.

i.
A PBEsol-optimized structure of La4Ti3O12, computed with SCAN.

```
La4Ti3O12
1.0
5.494 0.000 0.000
-0.054 5.630 0.000
-0.106 -0.212 7.852
La Ti O
4 3 12
Direct
0.011 0.426 0.227
0.487 0.957 0.232
0.513 0.043 0.768
0.989 0.574 0.773
0.000 0.000 0.500
0.500 0.500 0.000
0.500 0.500 0.500
0.092 0.983 0.729
0.214 0.676 0.044
0.224 0.713 0.451
0.283 0.220 0.452
0.324 0.212 0.036
0.419 0.488 0.744
0.581 0.512 0.256
0.676 0.788 0.964
0.717 0.780 0.548
0.776 0.287 0.549
0.786 0.324 0.956
0.908 0.017 0.271
```

- Fermi-level density of states (states/eV/cell) = 0.00

ii.
A PBEsol-optimized structure of La4Ti3O12, computed with SCAN.

```
La4Ti3O12
1.0
2.768 1.598 8.641
-2.768 1.598 8.641
0.000 -3.196 8.641
La Ti O
4 3 12
Direct
0.134 0.134 0.134
0.287 0.287 0.287
0.713 0.713 0.713
0.866 0.866 0.866
0.000 0.000 0.000
0.425 0.425 0.425
0.575 0.575 0.575
0.114 0.558 0.696
0.148 0.708 0.269
0.269 0.148 0.708
0.292 0.731 0.852
0.304 0.886 0.442
0.442 0.304 0.886
0.558 0.696 0.114
0.696 0.114 0.558
0.708 0.269 0.148
0.731 0.852 0.292
0.852 0.292 0.731
0.886 0.442 0.304
```

- Fermi-level density of states (states/eV/cell) = 0.00

Which is most stable, and by how much? ii, by 77 meV per atom.

i.
A PBEsol-optimized structure of La4Os, computed with SCAN.

```
La4Os
1.0
-3.410 3.410 3.410
3.410 -3.410 3.410
3.410 3.410 -3.410
La Os
4 1
Direct
0.000 0.000 0.500
0.000 0.500 0.000
0.500 0.000 0.000
0.500 0.500 0.500
0.000 0.000 0.000
```

- Fermi-level density of states (states/eV/cell) = 5.09

ii.
A PBEsol-optimized structure of La4Os, computed with SCAN.

```
La4Os
1.0
-4.499 4.499 1.823
4.499 -4.499 1.823
4.499 4.499 -1.823
La Os
4 1
Direct
0.076 0.744 0.820
0.256 0.076 0.332
0.744 0.924 0.668
0.924 0.256 0.180
0.500 0.500 0.000
```

- Fermi-level density of states (states/eV/cell) = 5.71

Which is most stable, and by how much? ii, by 118 meV per atom.